No. 1
Here is a PBEsol-optimized structure of Tb3Nd from Alexandria. Energies are from SCAN.

## Properties
For the calculated total energy, the calculation gives -45.946 eV per atom. Its spin magnetization is 0.000 μB/atom.

Cell lengths 7.1235, 7.1235, 5.6495 Å; angles 90.00, 90.00, 120.00 degrees
Last column: nearest neighbours and their distance in Å.
Space group P6_3/mmc (No. 194)
Unique sites:
Tb (0.1664, 0.3327, 0.2500) x6  8 Tb 3.49-3.57, 4 Nd 3.50-3.56
Nd (0.3333, 0.6667, 0.7500) x2  12 Tb 3.50-3.56



No. 2
Here is a PBEsol-optimized structure of Tb3Nd from Alexandria. Energies are from SCAN.

## Properties
For the calculated total energy, the calculation gives -45.949 eV per atom. Its spin magnetization is 0.000 μB/atom.

Cell lengths 4.9699, 4.9699, 9.9377 Å; angles 90.00, 90.00, 90.00 degrees
Last column: nearest neighbours and their distance in Å.
Space group I4/mmm (No. 139)
Unique sites:
Tb (0.0000, 0.0000, 0.0000) x2  8 Tb 3.51, 4 Nd 3.51
Tb (0.0000, 0.5000, 0.2500) x4  8 Tb 3.51, 4 Nd 3.51
Nd (0.0000, 0.0000, 0.5000) x2  12 Tb 3.51



Number 1: DFT formation energy 21 meV/atom, energy above the most stable polymorph in this dataset 0.07 kcal/mol of atoms. Number 2: DFT formation energy 18 meV/atom, energy above the most stable polymorph in this dataset 0.00 kcal/mol of atoms.